No. 1
A geometry-optimized TcOsRh2 structure. Source: Alexandria via LeMat-Bulk, functional GGA-PBEsol.

Geometry as POSCAR:
```
TcOsRh2
1.0
3.2147 0.0000 0.0000
0.0000 3.2147 0.0000
0.0000 0.0000 5.4157
Tc Os Rh
1 1 2
Direct
0.0000 0.0000 0.5001
0.5000 0.5000 0.7500
0.0000 0.0000 0.0027
0.5000 0.5000 0.2473
```

Computed properties:
* formation energy from the elements: 0.34 eV per atom
* total moment: 0.000 μB/atom
* SG: P4mm

No. 2
A geometry-optimized SbMoCl2 structure. Source: Alexandria via LeMat-Bulk, functional GGA-PBEsol.

Geometry as POSCAR:
```
SbMoCl2
1.0
3.1169 0.0000 0.0000
0.0000 4.5932 0.0000
0.0000 0.0000 5.4040
Sb Cl Mo
1 2 1
Direct
0.0000 0.5000 0.5000
0.0000 0.0000 0.0000
0.5000 0.0000 0.5000
0.5000 0.5000 0.0000
```

Computed properties:
* energy: -4.7863 eV/atom
* total moment: 0.690 μB/atom
* SG: Pmmm

No. 3
A geometry-optimized MnTeP2O structure. Source: Alexandria via LeMat-Bulk, functional GGA-PBEsol.

Geometry as POSCAR:
```
MnTeP2O
1.0
3.4702 0.0000 0.0000
0.0000 4.6542 0.0000
0.0000 0.0000 4.6542
P Te Mn O
2 1 1 1
Direct
0.0000 0.5000 0.0000
0.0000 0.0000 0.5000
0.5000 0.5000 0.5000
0.0000 0.0000 0.0000
0.5000 0.0000 0.0000
```

Computed properties:
* energy: -6.2452 eV/atom
* total moment: 0.001 μB/atom
* SG: P4/mmm

No. 4
A geometry-optimized Cd2HgPb structure. Source: Alexandria via LeMat-Bulk, functional GGA-PBEsol.

Geometry as POSCAR:
```
Cd2HgPb
1.0
3.6535 0.0000 0.0000
0.0000 3.6535 0.0000
0.0000 0.0000 7.1714
Cd Pb Hg
2 1 1
Direct
0.5000 0.5000 0.2496
0.0000 0.0000 0.0268
0.5000 0.5000 0.7496
0.0000 0.0000 0.4741
```

Computed properties:
* formation energy from the elements: 0.04 eV per atom
* total moment: 0.000 μB/atom
* SG: P4mm